Run A
Below is crystalline SnPdSeO at its relaxed geometry, with properties calculated at the GGA-PBE level.

Cell and atoms, written as POSCAR:
```
SnPdSeO
1.0
3.780 0.000 0.000
0.000 3.780 0.000
0.000 0.000 11.124
Sn Pd Se O
2 2 2 2
Direct
0.250 0.250 0.115
0.750 0.750 0.885
0.250 0.750 0.500
0.750 0.250 0.500
0.250 0.250 0.651
0.750 0.750 0.349
0.250 0.250 0.929
0.750 0.750 0.071
```

---

Run B
Below is crystalline SnPdSeO at its relaxed geometry, with properties calculated at the GGA-PBE level.

Cell and atoms, written as POSCAR:
```
SnPdSeO
1.0
6.413 0.000 0.000
0.000 7.389 0.000
0.000 0.000 5.987
Sn Pd Se O
4 4 4 4
Direct
0.130 0.147 0.000
0.370 0.147 0.500
0.630 0.853 0.000
0.870 0.853 0.500
0.003 0.689 0.115
0.497 0.689 0.615
0.503 0.311 0.115
0.997 0.311 0.615
0.131 0.608 0.726
0.369 0.608 0.226
0.631 0.392 0.726
0.869 0.392 0.226
0.115 0.985 0.303
0.385 0.985 0.803
0.615 0.015 0.303
0.885 0.015 0.803
```

---

Run C
Below is crystalline SnPdSeO at its relaxed geometry, with properties calculated at the GGA-PBE level.

Cell and atoms, written as POSCAR:
```
SnPdSeO
1.0
4.588 0.000 0.000
0.000 4.588 0.000
0.000 0.000 7.563
Sn Pd Se O
2 2 2 2
Direct
0.250 0.750 0.000
0.750 0.250 0.000
0.250 0.250 0.193
0.750 0.750 0.807
0.250 0.250 0.709
0.750 0.750 0.291
0.250 0.250 0.486
0.750 0.750 0.514
```

---

Run D
Below is crystalline SnPdSeO at its relaxed geometry, with properties calculated at the GGA-PBE level.

Cell and atoms, written as POSCAR:
```
SnPdSeO
1.0
4.618 0.000 0.000
0.000 8.401 0.000
0.000 0.000 8.471
Sn Pd Se O
4 4 4 4
Direct
0.213 0.150 0.392
0.287 0.850 0.892
0.713 0.350 0.608
0.787 0.650 0.108
0.236 0.837 0.443
0.264 0.163 0.943
0.736 0.663 0.557
0.764 0.337 0.057
0.234 0.631 0.660
0.266 0.369 0.160
0.734 0.869 0.340
0.766 0.131 0.840
0.233 0.711 0.086
0.267 0.289 0.586
0.733 0.789 0.914
0.767 0.211 0.414
```

---

Energetically preferred structure: run D | next structure: +0.042 eV/atom

---

Run A
Below is crystalline SrPdSeO at its relaxed geometry, with properties calculated at the GGA-PBE level.

Cell and atoms, written as POSCAR:
```
SrPdSeO
1.0
6.243 0.000 0.000
0.000 9.072 0.000
0.000 0.000 6.232
Sr Pd Se O
4 4 4 4
Direct
0.016 0.188 0.000
0.484 0.188 0.500
0.516 0.812 0.000
0.984 0.812 0.500
0.014 0.563 0.970
0.486 0.563 0.470
0.514 0.437 0.970
0.986 0.437 0.470
0.020 0.840 0.007
0.480 0.840 0.507
0.520 0.160 0.007
0.980 0.160 0.507
0.103 0.413 0.180
0.397 0.413 0.680
0.603 0.587 0.180
0.897 0.587 0.680
```

---

Run B
Below is crystalline SrPdSeO at its relaxed geometry, with properties calculated at the GGA-PBE level.

Cell and atoms, written as POSCAR:
```
SrPdSeO
1.0
4.050 0.000 0.000
-2.025 3.507 0.000
0.000 0.000 11.814
Sr Pd Se O
2 2 2 2
Direct
0.333 0.667 0.000
0.667 0.333 0.500
0.000 0.000 0.226
0.000 0.000 0.726
0.333 0.667 0.294
0.667 0.333 0.794
0.000 0.000 0.046
0.000 0.000 0.546
```

---

Run C
Below is crystalline SrPdSeO at its relaxed geometry, with properties calculated at the GGA-PBE level.

Cell and atoms, written as POSCAR:
```
SrPdSeO
1.0
4.973 0.000 0.000
0.000 4.973 0.000
0.000 0.000 7.613
Sr Pd Se O
2 2 2 2
Direct
0.250 0.750 0.000
0.750 0.250 0.000
0.250 0.250 0.233
0.750 0.750 0.767
0.250 0.250 0.734
0.750 0.750 0.266
0.250 0.250 0.507
0.750 0.750 0.493
```

---

Run D
Below is crystalline SrPdSeO at its relaxed geometry, with properties calculated at the GGA-PBE level.

Cell and atoms, written as POSCAR:
```
SrPdSeO
1.0
6.270 0.000 0.000
0.000 7.278 0.000
0.000 0.000 7.743
Sr Pd Se O
4 4 4 4
Direct
0.112 0.191 0.324
0.388 0.809 0.824
0.612 0.309 0.676
0.888 0.691 0.176
0.058 0.125 0.733
0.442 0.875 0.233
0.558 0.375 0.267
0.942 0.625 0.767
0.148 0.386 0.915
0.352 0.614 0.415
0.648 0.114 0.085
0.852 0.886 0.585
0.087 0.513 0.377
0.413 0.487 0.877
0.587 0.987 0.623
0.913 0.013 0.123
```

---

Energetically preferred structure: run B | next structure: +0.177 eV/atom

---

Run A
Below is crystalline SrPdSeO at its relaxed geometry, with properties calculated at the GGA-PBE level.

Cell and atoms, written as POSCAR:
```
SrPdSeO
1.0
4.244 0.000 0.000
0.000 4.244 0.000
0.000 0.000 8.991
Sr Pd Se O
2 2 2 2
Direct
0.250 0.250 0.207
0.750 0.750 0.793
0.250 0.250 0.560
0.750 0.750 0.440
0.250 0.250 0.855
0.750 0.750 0.145
0.250 0.750 0.500
0.750 0.250 0.500
```

---

Run B
Below is crystalline SrPdSeO at its relaxed geometry, with properties calculated at the GGA-PBE level.

Cell and atoms, written as POSCAR:
```
SrPdSeO
1.0
6.308 0.000 0.000
0.000 6.335 0.000
0.000 0.000 7.557
Sr Pd Se O
4 4 4 4
Direct
0.183 0.089 0.450
0.317 0.911 0.950
0.683 0.411 0.550
0.817 0.589 0.050
0.225 0.582 0.287
0.275 0.418 0.787
0.725 0.918 0.713
0.775 0.082 0.213
0.051 0.694 0.655
0.449 0.306 0.155
0.551 0.806 0.345
0.949 0.194 0.845
0.045 0.865 0.197
0.455 0.135 0.697
0.545 0.635 0.803
0.955 0.365 0.303
```

---

Run C
Below is crystalline SrPdSeO at its relaxed geometry, with properties calculated at the GGA-PBE level.

Cell and atoms, written as POSCAR:
```
SrPdSeO
1.0
3.946 0.000 0.000
0.000 3.946 0.000
0.000 0.000 9.905
Sr Pd Se O
2 2 2 2
Direct
0.250 0.250 0.137
0.750 0.750 0.863
0.250 0.750 0.500
0.750 0.250 0.500
0.250 0.250 0.661
0.750 0.750 0.339
0.250 0.250 0.900
0.750 0.750 0.100
```

---

Run D
Below is crystalline SrPdSeO at its relaxed geometry, with properties calculated at the GGA-PBE level.

Cell and atoms, written as POSCAR:
```
SrPdSeO
1.0
3.972 0.000 0.000
0.000 3.972 0.000
0.000 0.000 9.784
Sr Pd Se O
2 2 2 2
Direct
0.250 0.250 0.134
0.750 0.750 0.866
0.250 0.250 0.672
0.750 0.750 0.328
0.250 0.750 0.500
0.750 0.250 0.500
0.250 0.250 0.893
0.750 0.750 0.107
```

---

Energetically preferred structure: run B | next structure: +0.027 eV/atom

---

Run A
Below is crystalline SrPdSeO at its relaxed geometry, with properties calculated at the GGA-PBE level.

Cell and atoms, written as POSCAR:
```
SrPdSeO
1.0
2.305 -5.681 0.000
2.305 5.681 0.000
0.000 0.000 6.118
Sr Pd Se O
2 2 2 2
Direct
0.176 0.824 0.500
0.824 0.176 0.000
0.476 0.524 0.607
0.524 0.476 0.107
0.104 0.896 0.009
0.896 0.104 0.509
0.383 0.617 0.889
0.617 0.383 0.389
```

---

Run B
Below is crystalline SrPdSeO at its relaxed geometry, with properties calculated at the GGA-PBE level.

Cell and atoms, written as POSCAR:
```
SrPdSeO
1.0
3.482 -3.483 0.000
3.482 3.483 0.000
0.000 0.000 13.192
Sr Pd Se O
4 4 4 4
Direct
0.233 0.267 0.250
0.267 0.233 0.750
0.733 0.767 0.250
0.767 0.733 0.750
0.247 0.753 0.439
0.253 0.747 0.939
0.747 0.253 0.061
0.753 0.247 0.561
0.246 0.246 0.000
0.254 0.254 0.500
0.746 0.746 0.500
0.754 0.754 0.000
0.233 0.767 0.270
0.267 0.733 0.770
0.733 0.267 0.230
0.767 0.233 0.730
```

---

Energetically preferred structure: run B | next structure: +0.075 eV/atom

---

Run A
Below is crystalline Si2Pd2O5 at its relaxed geometry, with properties calculated at the GGA-PBE level.

Cell and atoms, written as POSCAR:
```
Si2Pd2O5
1.0
3.830 0.000 0.000
0.000 3.830 0.000
0.000 0.000 7.396
Si Pd O
2 2 5
Direct
0.000 0.000 0.000
0.000 0.000 0.500
0.500 0.500 0.217
0.500 0.500 0.783
0.000 0.500 0.157
0.000 0.500 0.843
0.500 0.000 0.157
0.500 0.000 0.843
0.500 0.500 0.500
```

---

Run B
Below is crystalline Si2Pd2O5 at its relaxed geometry, with properties calculated at the GGA-PBE level.

Cell and atoms, written as POSCAR:
```
Si2Pd2O5
1.0
3.401 0.000 0.000
0.000 3.401 0.000
0.000 0.000 7.909
Si Pd O
2 2 5
Direct
0.000 0.000 0.222
0.000 0.000 0.778
0.500 0.500 0.000
0.500 0.500 0.500
0.000 0.000 0.000
0.000 0.500 0.270
0.000 0.500 0.730
0.500 0.000 0.270
0.500 0.000 0.730
```

---

Energetically preferred structure: run B | next structure: +1.046 eV/atom

---

Run A
Below is crystalline Sr2PdO4 at its relaxed geometry, with properties calculated at the GGA-PBE level.

Cell and atoms, written as POSCAR:
```
Sr2PdO4
1.0
0.000 4.858 4.858
4.858 0.000 4.858
4.858 4.858 0.000
Sr Pd O
4 2 8
Direct
0.000 0.000 0.000
0.000 0.000 0.500
0.000 0.500 0.000
0.500 0.000 0.000
0.375 0.375 0.375
0.625 0.625 0.625
0.255 0.255 0.255
0.255 0.255 0.734
0.255 0.734 0.255
0.266 0.745 0.745
0.734 0.255 0.255
0.745 0.266 0.745
0.745 0.745 0.266
0.745 0.745 0.745
```

---

Run B
Below is crystalline Sr2PdO4 at its relaxed geometry, with properties calculated at the GGA-PBE level.

Cell and atoms, written as POSCAR:
```
Sr2PdO4
1.0
6.062 0.000 0.000
0.000 9.828 0.000
0.000 0.000 3.335
Sr Pd O
4 2 8
Direct
0.078 0.180 0.000
0.422 0.680 0.000
0.578 0.320 0.000
0.922 0.820 0.000
0.000 0.500 0.500
0.500 0.000 0.500
0.131 0.691 0.500
0.200 0.449 0.000
0.300 0.949 0.000
0.369 0.191 0.500
0.631 0.809 0.500
0.700 0.051 0.000
0.800 0.551 0.000
0.869 0.309 0.500
```

---

Energetically preferred structure: run B | next structure: +0.443 eV/atom

---

Run A
Ta2Pd2O5, relaxed, DFT GGA-PBE; total magnetic moment = 1.835 μB/f.u.
1.0
3.408 0.000 0.000
0.000 3.408 0.000
0.000 0.000 8.386
Ta Pd O
2 2 5
Direct
0.000 0.000 0.000
0.000 0.000 0.500
0.500 0.500 0.159
0.500 0.500 0.841
0.000 0.500 0.329
0.000 0.500 0.671
0.500 0.000 0.329
0.500 0.000 0.671
0.500 0.500 0.500

---

Run B
Ta2Pd2O5, relaxed, DFT GGA-PBE; total magnetic moment = 0.191 μB/f.u.
1.0
3.715 0.000 0.000
0.000 3.715 0.000
0.000 0.000 8.821
Ta Pd O
2 2 5
Direct
0.000 0.000 0.220
0.000 0.000 0.780
0.500 0.500 0.000
0.500 0.500 0.500
0.000 0.000 0.000
0.000 0.500 0.288
0.000 0.500 0.712
0.500 0.000 0.288
0.500 0.000 0.712

---

Energetically preferred structure: run B | next structure: +0.989 eV/atom